No. 1
DFT (GGA-PBE) results for a relaxed NaLiGa crystal.

Results
Offset from the most stable computed form, meV/atom: 0.6
Energy relative to the elements, eV per atom: -0.130
DOS at the Fermi energy, states/eV per cell: 0.6

a = 4.3516 Å, b = 4.3516 Å, c = 8.3175 Å
α = 90.00°, β = 90.00°, γ = 120.00°
Space group P-3m1 (No. 164)
Inequivalent atoms, fractional coordinates:
Na (0.3333, 0.6667, 0.3598)
Li (0.0000, 0.0000, 0.1557)
Ga (0.3333, 0.6667, 0.9590)

No. 2
DFT (GGA-PBE) results for a relaxed NdDyCdAu crystal.

Results
Offset from the most stable computed form, meV/atom: 0.0
Energy relative to the elements, eV per atom: -0.565
DOS at the Fermi energy, states/eV per cell: 3.8

a = 3.712 Å, b = 3.712 Å, c = 7.512 Å
α = 90.00°, β = 90.00°, γ = 90.00°
Space group P4mm (No. 99)
Inequivalent atoms, fractional coordinates:
Nd (0.000, 0.000, 0.000)
Dy (0.000, 0.000, 0.473)
Cd (0.500, 0.500, 0.725)
Au (0.500, 0.500, 0.263)

No. 3
DFT (GGA-PBE) results for a relaxed Rb4Pr3ScSe8 crystal.

Results
DOS at the Fermi energy, states/eV per cell: 0.0
Uncorrected formation energy, eV/atom: -1.68

a = 8.6484 Å, b = 8.6484 Å, c = 24.0435 Å
α = 90.00°, β = 90.00°, γ = 120.00°
Space group R-3m (No. 166, hexagonal axes)
Inequivalent atoms, fractional coordinates:
Rb (0.0000, 0.0000, 0.0000)
Rb (0.0000, 0.5000, 0.0000)
Pr (0.0000, 0.5000, 0.5000)
Sc (0.0000, 0.0000, 0.5000)
Se (0.0000, 0.0000, 0.2350)
Se (0.0190, 0.5095, 0.2318)

No. 4
DFT (GGA-PBE) results for a relaxed CsPuSn2I8 crystal.

Results
DOS at the Fermi energy, states/eV per cell: 11.1
Uncorrected formation energy, eV/atom: -0.81

a = 7.523 Å, b = 7.848 Å, c = 10.255 Å
α = 83.64°, β = 84.04°, γ = 87.19°
Space group P-1 (No. 2)
Inequivalent atoms, fractional coordinates:
Cs (0.000, 0.000, 0.000)
Pu (0.000, 0.000, 0.500)
Sn (0.477, 0.490, 0.248)
I (0.232, 0.328, 0.483)
I (0.251, 0.837, 0.704)
I (0.258, 0.399, 0.046)
I (0.269, 0.855, 0.285)

No. 5
DFT (GGA-PBE) results for a relaxed Cd3In5 crystal.

Results
Offset from the most stable computed form, meV/atom: 23.0
Energy relative to the elements, eV per atom: 0.042
DOS at the Fermi energy, states/eV per cell: 3.1

a = 3.526 Å, b = 3.526 Å, c = 16.533 Å
α = 90.00°, β = 90.00°, γ = 90.00°
Space group P4/mmm (No. 123)
Inequivalent atoms, fractional coordinates:
Cd (0.000, 0.000, 0.000)
Cd (0.500, 0.500, 0.377)
In (0.000, 0.000, 0.254)
In (0.000, 0.000, 0.500)
In (0.500, 0.500, 0.123)

No. 6
DFT (GGA-PBE) results for a relaxed Y2ErTlO6 crystal.

Results
DOS at the Fermi energy, states/eV per cell: 0.0
Uncorrected formation energy, eV/atom: -2.80

a = 5.8081 Å, b = 5.8081 Å, c = 15.2950 Å
α = 90.00°, β = 90.00°, γ = 120.00°
Space group R3 (No. 146, hexagonal axes)
Inequivalent atoms, fractional coordinates:
Y (0.0000, 0.0000, 0.0000)
Y (0.0000, 0.0000, 0.4962)
Er (0.0000, 0.0000, 0.7833)
Tl (0.0000, 0.0000, 0.2803)
O (0.0037, 0.7022, 0.3932)
O (0.0454, 0.3769, 0.5566)

No. 7
DFT (GGA-PBE) results for a relaxed Cs3Tm2UTe6 crystal.

Results
DOS at the Fermi energy, states/eV per cell: 21.9
Uncorrected formation energy, eV/atom: -1.17

a = 7.888 Å, b = 13.661 Å, c = 9.305 Å
α = 90.00°, β = 106.43°, γ = 90.00°
Space group C2/m (No. 12)
Inequivalent atoms, fractional coordinates:
Cs (0.000, 0.000, 0.000)
Cs (0.000, 0.335, 0.000)
Tm (0.000, 0.167, 0.500)
U (0.000, 0.500, 0.500)
Te (0.222, 0.000, 0.689)
Te (0.234, 0.330, 0.690)

No. 8
DFT (GGA-PBE) results for a relaxed CeEr2Tm crystal.

Results
Offset from the most stable computed form, meV/atom: 7.8
Energy relative to the elements, eV per atom: 0.062
DOS at the Fermi energy, states/eV per cell: 7.6

a = 3.492 Å, b = 3.492 Å, c = 9.905 Å
α = 90.00°, β = 90.00°, γ = 90.00°
Space group P4/mmm (No. 123)
Inequivalent atoms, fractional coordinates:
Ce (0.000, 0.000, 0.000)
Er (0.500, 0.500, 0.247)
Tm (0.000, 0.000, 0.500)

No. 9
DFT (GGA-PBE) results for a relaxed YTa2Au crystal.

Results
Offset from the most stable computed form, meV/atom: 527.4
Energy relative to the elements, eV per atom: 0.484
DOS at the Fermi energy, states/eV per cell: 10.0

a = 6.793 Å, b = 6.793 Å, c = 6.793 Å
α = 90.00°, β = 90.00°, γ = 90.00°
Space group Fm-3m (No. 225)
Inequivalent atoms, fractional coordinates:
Y (0.000, 0.000, 0.000)
Ta (0.250, 0.250, 0.250)
Au (0.000, 0.000, 0.500)

No. 10
DFT (GGA-PBE) results for a relaxed Al6Ga2Ag crystal.

Results
Offset from the most stable computed form, meV/atom: 0.0
Energy relative to the elements, eV per atom: 0.079
DOS at the Fermi energy, states/eV per cell: 8.4

a = 10.133 Å, b = 10.273 Å, c = 6.306 Å
α = 90.00°, β = 99.74°, γ = 90.00°
Space group C2/c (No. 15)
Inequivalent atoms, fractional coordinates:
Al (0.040, 0.177, 0.472)
Al (0.139, 0.415, 0.388)
Al (0.240, 0.197, 0.209)
Ga (0.150, 0.050, 0.846)
Ag (0.000, 0.377, 0.750)

No. 11
DFT (GGA-PBE) results for a relaxed Cu3Si crystal.

Results
DOS at the Fermi energy, states/eV per cell: 0.9
Uncorrected formation energy, eV/atom: -0.02

a = 2.665 Å, b = 4.099 Å, c = 4.443 Å
α = 90.00°, β = 90.00°, γ = 90.00°
Space group Pmm2 (No. 25)
Inequivalent atoms, fractional coordinates:
Cu (0.000, 0.000, 0.000)
Cu (0.000, 0.500, 0.336)
Cu (0.500, 0.000, 0.508)
Si (0.500, 0.500, 0.836)

No. 12
DFT (GGA-PBE) results for a relaxed Pr2TmSe3 crystal.

Results
Offset from the most stable computed form, meV/atom: 0.0
DOS at the Fermi energy, states/eV per cell: 46.6
Uncorrected formation energy, eV/atom: -1.79

a = 8.503 Å, b = 11.831 Å, c = 24.728 Å
α = 90.00°, β = 90.00°, γ = 90.00°
Space group Fddd (No. 70, origin choice 2)
Inequivalent atoms, fractional coordinates:
Pr (0.125, 0.125, 0.046)
Pr (0.125, 0.125, 0.372)
Tm (0.125, 0.125, 0.542)
Se (0.105, 0.375, 0.875)
Se (0.116, 0.367, 0.712)

No. 13
DFT (GGA-PBE) results for a relaxed CsTeOsN2 crystal.

Results
Offset from the most stable computed form, meV/atom: 1965.2
DOS at the Fermi energy, states/eV per cell: 7.7
Uncorrected formation energy, eV/atom: 3.09

a = 4.218 Å, b = 4.218 Å, c = 7.531 Å
α = 90.00°, β = 90.00°, γ = 90.00°
Space group P4/mmm (No. 123)
Inequivalent atoms, fractional coordinates:
Cs (0.000, 0.000, 0.000)
Te (0.000, 0.000, 0.500)
Os (0.500, 0.500, 0.500)
N (0.000, 0.500, 0.000)

No. 14
DFT (GGA-PBE) results for a relaxed CsH2Se crystal.

Results
Offset from the most stable computed form, meV/atom: 0.0
DOS at the Fermi energy, states/eV per cell: 2.1

a = 5.171 Å, b = 6.920 Å, c = 5.304 Å
α = 90.00°, β = 92.37°, γ = 90.00°
Space group P2_1/m (No. 11)
Inequivalent atoms, fractional coordinates:
Cs (0.131, 0.250, 0.381)
H (0.382, 0.593, 0.875)
Se (0.421, 0.750, 0.103)